Entry from Alexandria via LeMat-Bulk: SrLi2Sb2 at its PBEsol-relaxed geometry (SCAN).

Geometry as CIF:
```
data_SrLi2Sb2
_symmetry_space_group_name_H-M 'I 4/m m m'
_symmetry_Int_Tables_number 139
_symmetry_space_group_name_Hall '-I 4 2'
_cell_length_a 4.5837
_cell_length_b 4.5837
_cell_length_c 11.7702
_cell_angle_alpha 90.00
_cell_angle_beta 90.00
_cell_angle_gamma 90.00
loop_
_atom_site_label
_atom_site_fract_x
_atom_site_fract_y
_atom_site_fract_z
Sr1 0.0000 0.0000 0.0000
Li1 0.0000 0.5000 0.2500
Sb1 0.0000 0.0000 0.3785
```

Computed properties:
* D(E_F): 0.6 states/eV/f.u.
* volume: 247.3 Å³/cell
* calculated density: 4.6 g/cm3
* formation energy (no corrections): -815 meV per atom

***

Entry from Alexandria via LeMat-Bulk: Tl2MoF at its PBEsol-relaxed geometry (SCAN).

Geometry as CIF:
```
data_Tl2MoF
_symmetry_space_group_name_H-M 'F m -3 m'
_symmetry_Int_Tables_number 225
_symmetry_space_group_name_Hall '-F 4 2 3'
_cell_length_a 6.7417
_cell_length_b 6.7417
_cell_length_c 6.7417
_cell_angle_alpha 90.00
_cell_angle_beta 90.00
_cell_angle_gamma 90.00
loop_
_atom_site_label
_atom_site_fract_x
_atom_site_fract_y
_atom_site_fract_z
Tl1 0.2500 0.2500 0.2500
Mo1 0.0000 0.0000 0.0000
F1 0.0000 0.0000 0.5000
```

Computed properties:
* D(E_F): 2.6 states/eV/f.u.
* volume: 306.4 Å³/cell
* calculated density: 11.4 g/cm3
* formation energy (no corrections): 215 meV per atom

***

Q: The lowest volume belongs to which entry?
A: SrLi2Sb2